[1]
Compound: MgAg2Pb
Source: Alexandria
Functional: GGA-PBEsol
Structure: optimized geometry

POSCAR file:
```
MgAg2Pb
1.0
-3.2896 -1.6245 2.1953
0.0505 -3.4723 -2.4940
4.4193 0.6075 2.9084
Ag Mg Pb
2 1 1
direct
0.0000 0.0000 0.0000
0.7500 0.2500 0.5000
0.5000 0.5000 0.0000
0.2500 0.7500 0.5000
```

Results
The calculation puts the spin magnetization at 0.00 μB per cell. Its crystal system is tetragonal. Its energy of formation is -0.15 eV per formula unit. As for the space group: No. 119.

=====

[2]
Compound: MgAg2Pb
Source: Alexandria
Functional: GGA-PBEsol
Structure: optimized geometry

POSCAR file:
```
MgAg2Pb
1.0
-1.6072 1.8557 2.4736
2.1645 -1.3159 2.3935
4.2833 5.1205 -1.0583
Ag Mg Pb
2 1 1
direct
0.0000 0.0000 0.0342
0.5000 0.5000 0.2436
0.0000 0.0000 0.4565
0.5000 0.5000 0.7657
```

Results
The calculation puts the spin magnetization at 0.00 μB per cell. Its crystal system is tetragonal. Its energy of formation is -0.15 eV per formula unit. As for the space group: No. 99.

=====

no.,N(E_F) (states/eV per cell)
1,1.3
2,1.9